Entry 1:
Density functional theory data (PBE) for a relaxed structure of Ac2PmSb3Ir4.

Values from the calculation:
DFT total energy	-67.4	eV for the cell shown
formation energy (no corrections)	-663	meV/atom
total magnetic moment	0.00	μB/atom
V	23.7	A^3/atom

Cell and atoms, written as POSCAR:
```
Ac2PmSb3Ir4
1.0
-3.666 -1.380 2.219
0.803 -4.233 -1.305
6.459 -1.734 9.595
Ir Sb Ac Pm
4 3 2 1
direct
0.500 0.500 0.000 Ir
0.500 0.000 0.650 Ir
0.000 0.000 0.000 Ir
0.000 0.500 0.350 Ir
0.000 0.500 0.126 Sb
0.500 0.000 0.874 Sb
0.000 0.000 0.500 Sb
0.000 0.500 0.764 Ac
0.500 0.000 0.236 Ac
0.500 0.500 0.500 Pm
```

=====

Entry 2:
Density functional theory data (PBE) for a relaxed structure of Pu5PdRh2.

Values from the calculation:
DFT total energy	-188.6	eV for the cell shown
excess energy over the best structure of this formula in the dataset	0	meV/atom
formation energy	-341	meV per atom
total magnetic moment	3.55	μB/atom
V	22.9	A^3/atom

Cell and atoms, written as POSCAR:
```
Pu5PdRh2
1.0
-6.829 1.929 2.772
0.986 -4.842 5.799
5.594 6.053 -0.902
Rh Pu Pd
4 10 2
direct
0.363 0.863 0.000 Rh
0.637 0.137 0.000 Rh
0.137 0.363 0.000 Rh
0.863 0.637 0.000 Rh
0.500 0.500 0.000 Pu
0.987 0.487 0.297 Pu
0.811 0.987 0.297 Pu
0.000 0.000 0.000 Pu
0.487 0.311 0.297 Pu
0.689 0.189 0.703 Pu
0.513 0.689 0.703 Pu
0.189 0.013 0.703 Pu
0.311 0.811 0.297 Pu
0.013 0.513 0.703 Pu
0.750 0.750 0.500 Pd
0.250 0.250 0.500 Pd
```

=====

Entry 3:
Density functional theory data (PBE) for a relaxed structure of K2AcHg2S4.

Values from the calculation:
DFT total energy	-32.4	eV for the cell shown
formation energy (no corrections)	-997	meV/atom
total magnetic moment	0.00	μB/atom
V	29.1	A^3/atom

Cell and atoms, written as POSCAR:
```
K2AcHg2S4
1.0
4.241 0.000 0.000
0.000 8.159 0.014
-2.121 -3.205 7.553
S Ac Hg K
4 1 2 2
direct
0.805 0.765 0.610 S
0.531 0.771 0.062 S
0.195 0.235 0.390 S
0.469 0.229 0.938 S
0.000 0.000 0.000 Ac
0.308 0.972 0.616 Hg
0.692 0.028 0.384 Hg
0.126 0.562 0.253 K
0.874 0.438 0.747 K
```

=====

Entry 4:
Density functional theory data (PBE) for a relaxed structure of La10NdTm4.

Values from the calculation:
DFT total energy	-68.9	eV for the cell shown
formation energy	205	meV per atom
total magnetic moment	0.00	μB/atom
V	35.4	A^3/atom

Cell and atoms, written as POSCAR:
```
La10NdTm4
1.0
7.212 0.000 3.256
3.606 8.196 1.628
0.233 0.000 9.098
La Tm Nd
10 4 1
direct
0.711 0.219 0.781 La
0.289 0.219 0.781 La
0.711 0.781 0.219 La
0.289 0.781 0.219 La
0.750 0.500 0.500 La
0.250 0.500 0.500 La
0.930 0.781 0.781 La
0.508 0.781 0.781 La
0.492 0.219 0.219 La
0.070 0.219 0.219 La
0.231 0.000 0.538 Tm
0.231 0.538 0.000 Tm
0.769 0.462 0.000 Tm
0.769 0.000 0.462 Tm
0.000 0.000 0.000 Nd
```

=====

Entry 5:
Density functional theory data (PBE) for a relaxed structure of KTl3Pb.

Values from the calculation:
DFT total energy	-24.3	eV for the cell shown
excess energy over the best structure of this formula in the dataset	5	meV/atom
formation energy	-51	meV per atom
total magnetic moment	0.00	μB/atom
V	34.1	A^3/atom

Cell and atoms, written as POSCAR:
```
KTl3Pb
1.0
7.876 0.000 0.000
0.001 5.501 -0.004
0.000 0.005 7.878
Pb Tl K
2 6 2
direct
0.167 0.926 0.701 Pb
0.667 0.426 0.201 Pb
0.482 0.926 0.403 Tl
0.482 0.926 0.998 Tl
0.273 0.426 0.201 Tl
0.982 0.426 0.903 Tl
0.773 0.926 0.701 Tl
0.982 0.426 0.498 Tl
0.474 0.426 0.701 K
0.974 0.926 0.201 K
```

=====

Entry 6:
Density functional theory data (PBE) for a relaxed structure of Ta3VH6.

Values from the calculation:
DFT total energy	-62.8	eV for the cell shown
excess energy over the best structure of this formula in the dataset	319	meV/atom
total magnetic moment	0.00	μB/atom
V	8.4	A^3/atom

Cell and atoms, written as POSCAR:
```
Ta3VH6
1.0
-4.638 1.571 -0.448
1.344 -4.314 -1.940
1.700 -1.462 4.376
Ta H V
3 6 1
direct
0.500 0.750 0.250 Ta
0.000 0.000 0.000 Ta
0.500 0.250 0.750 Ta
0.000 0.740 0.260 H
0.000 0.260 0.260 H
0.519 0.260 0.260 H
0.000 0.740 0.740 H
0.000 0.260 0.740 H
0.481 0.740 0.740 H
0.000 0.500 0.500 V
```

=====

Entry 7:
Density functional theory data (PBE) for a relaxed structure of ErTh4Pd15.

Values from the calculation:
DFT total energy	-131.0	eV for the cell shown
formation energy	-941	meV per atom
total magnetic moment	0.00	μB/atom
V	18.5	A^3/atom

Cell and atoms, written as POSCAR:
```
ErTh4Pd15
1.0
-0.686 -3.488 2.225
2.631 -2.108 -2.493
15.995 4.952 12.691
Pd Th Er
15 4 1
direct
0.000 0.500 0.299 Pd
0.000 0.500 0.701 Pd
0.500 0.500 0.199 Pd
0.500 0.500 0.801 Pd
0.500 0.500 0.000 Pd
0.500 0.000 0.902 Pd
0.500 0.000 0.500 Pd
0.500 0.000 0.299 Pd
0.000 0.500 0.500 Pd
0.500 0.500 0.400 Pd
0.500 0.000 0.098 Pd
0.000 0.500 0.902 Pd
0.000 0.500 0.098 Pd
0.500 0.500 0.600 Pd
0.500 0.000 0.701 Pd
0.000 0.000 0.195 Th
0.000 0.000 0.398 Th
0.000 0.000 0.602 Th
0.000 0.000 0.805 Th
0.000 0.000 0.000 Er
```

=====

Entry 8:
Density functional theory data (PBE) for a relaxed structure of TbPrCl3.

Values from the calculation:
DFT total energy	-48.3	eV for the cell shown
formation energy (no corrections)	-1839	meV/atom
total magnetic moment	0.00	μB/atom
V	29.4	A^3/atom

Cell and atoms, written as POSCAR:
```
TbPrCl3
1.0
-2.568 -2.956 0.458
4.203 -6.631 -2.258
3.524 -4.415 8.231
Cl Tb Pr
6 2 2
direct
0.775 0.337 0.112 Cl
0.655 0.197 0.493 Cl
0.051 0.651 0.247 Cl
0.225 0.663 0.888 Cl
0.345 0.803 0.507 Cl
0.949 0.349 0.753 Cl
0.412 0.223 0.952 Tb
0.588 0.777 0.048 Tb
0.141 0.010 0.708 Pr
0.859 0.990 0.292 Pr
```